# CdTcO4, optimized geometry, DFT PBE-GGA
# **E**: -6.419 eV per atom
# **Calculated density**: 6.05 g cm⁻³
# **Size of the total moment**: 0.012 μB/atom
data_CdTcO4
_cell_length_a 6.780
_cell_length_b 6.780
_cell_length_c 6.780
_cell_angle_alpha 135.55
_cell_angle_beta 135.55
_cell_angle_gamma 64.68
_symmetry_space_group_name_H-M 'P 1'
_symmetry_Int_Tables_number 1
loop_
_symmetry_equiv_pos_as_xyz
'x,y,z'
loop_
_atom_site_label
_atom_site_fract_x
_atom_site_fract_y
_atom_site_fract_z
Cd1 0.375 0.125 0.250
Cd2 0.625 0.875 0.750
Tc1 0.125 0.375 0.750
Tc2 0.875 0.625 0.250
O1 0.045 0.210 0.339
O2 0.205 0.545 0.335
O3 0.290 0.129 0.835
O4 0.371 0.705 0.161
O5 0.629 0.295 0.839
O6 0.710 0.871 0.165
O7 0.795 0.455 0.665
O8 0.955 0.790 0.661